one) Computed, not measured: a relaxed structure of LiV4OF11 at the GGA+U level of DFT.

Cell: 5.2257 5.4813 17.4299 Å, 87.98 81.55 61.95°
Fractional positions:
Li: 0.0000 0.0000 0.0000
Li: 0.2592 0.8906 0.6226
V: 0.0466 0.0618 0.8224
V: 0.0492 0.5806 0.3208
V: 0.2983 0.4113 0.9516
V: 0.3044 0.9515 0.4448
V: 0.5278 0.8439 0.0718
V: 0.5749 0.3228 0.5735
V: 0.7976 0.2115 0.1970
V: 0.7993 0.6787 0.6940
O: 0.2966 0.1269 0.0102
O: 0.6993 0.5482 0.6136
F: 0.2222 0.9923 0.1657
F: 0.2329 0.7920 0.3545
F: 0.2364 0.4558 0.6600
F: 0.2366 0.2674 0.8565
F: 0.2685 0.7504 0.8874
F: 0.2803 0.2725 0.3859
F: 0.3121 0.6527 0.5123
F: 0.3446 0.6202 0.0347
F: 0.3507 0.9208 0.7267
F: 0.3706 0.4119 0.2314
F: 0.3772 0.0966 0.5406
F: 0.7282 0.7435 0.4109
F: 0.7413 0.0564 0.1011
F: 0.7484 0.2088 0.9201
F: 0.7729 0.5283 0.1374
F: 0.8046 0.3885 0.7668
F: 0.8156 0.8932 0.2584
F: 0.8374 0.9896 0.6351
F: 0.8664 0.3673 0.2891
F: 0.8658 0.6758 0.9860
F: 0.8708 0.8526 0.7856
F: 0.8790 0.1604 0.4806

M_tot = 5.00 μB per formula unit



two) Computed, not measured: a relaxed structure of LiV4OF11 at the GGA+U level of DFT.

Cell: 5.2492 5.4853 17.3670 Å, 84.38 81.36 61.56°
Fractional positions:
Li: 0.1271 0.4395 0.3203
Li: 0.8729 0.5605 0.6797
V: 0.0000 0.5000 0.5000
V: 0.1228 0.6366 0.1240
V: 0.2717 0.7261 0.7497
V: 0.3784 0.8467 0.3710
V: 0.5000 0.0000 0.0000
V: 0.6216 0.1533 0.6290
V: 0.7283 0.2739 0.2503
V: 0.8772 0.3634 0.8760
O: 0.4346 0.5607 0.3114
O: 0.5654 0.4393 0.6886
F: 0.0229 0.8894 0.6634
F: 0.0306 0.5147 0.7796
F: 0.0377 0.9549 0.1848
F: 0.2011 0.3551 0.5973
F: 0.2041 0.3143 0.0635
F: 0.2185 0.7078 0.4671
F: 0.2699 0.1644 0.9096
F: 0.2828 0.7902 0.0323
F: 0.2884 0.1865 0.4358
F: 0.4841 0.5819 0.8434
F: 0.4965 0.9439 0.7124
F: 0.5035 0.0561 0.2876
F: 0.5159 0.4181 0.1566
F: 0.7116 0.8135 0.5642
F: 0.7172 0.2098 0.9677
F: 0.7301 0.8356 0.0904
F: 0.7815 0.2922 0.5329
F: 0.7959 0.6857 0.9365
F: 0.7989 0.6449 0.4027
F: 0.9623 0.0451 0.8152
F: 0.9694 0.4853 0.2204
F: 0.9771 0.1106 0.3366

M_tot = 6.00 μB per formula unit



Last place for stability: one)



one) Computed, not measured: a relaxed structure of Li2VOF4 at the GGA+U level of DFT.

Cell: 3.7018 10.1734 5.3028 Å, 90.00 109.84 90.00°
Fractional positions:
Li: 0.1402 0.0000 0.2729
Li: 0.1787 0.3254 0.3710
Li: 0.8213 0.8254 0.6290
Li: 0.8598 0.5000 0.7271
V: 0.1832 0.6345 0.2722
V: 0.8168 0.1345 0.7278
O: 0.3374 0.1434 0.6875
O: 0.6626 0.6434 0.3125
F: 0.0436 0.1977 0.0857
F: 0.0573 0.4651 0.1049
F: 0.2292 0.8130 0.4518
F: 0.3002 0.5268 0.6062
F: 0.6998 0.0268 0.3938
F: 0.7708 0.3130 0.5482
F: 0.9427 0.9651 0.8951
F: 0.9564 0.6977 0.9143

M_tot = 1.00 μB per formula unit



two) Computed, not measured: a relaxed structure of Li2VOF4 at the GGA+U level of DFT.

Cell: 5.1793 7.0232 9.7877 Å, 90.00 90.00 90.00°
Fractional positions:
Li: 0.0364 0.2194 0.2173
Li: 0.0426 0.0886 0.9177
Li: 0.4574 0.9114 0.4177
Li: 0.4636 0.7806 0.7173
Li: 0.5364 0.2806 0.7827
Li: 0.5426 0.4114 0.0823
Li: 0.9574 0.5886 0.5823
Li: 0.9636 0.7194 0.2827
V: 0.0115 0.5664 0.9401
V: 0.4885 0.4336 0.4401
V: 0.5115 0.9336 0.0599
V: 0.9885 0.0664 0.5599
O: 0.2385 0.0335 0.1078
O: 0.2615 0.9665 0.6078
O: 0.7385 0.4665 0.8922
O: 0.7615 0.5335 0.3922
F: 0.0593 0.0164 0.3650
F: 0.1312 0.3271 0.5309
F: 0.1380 0.6460 0.7623
F: 0.2362 0.3408 0.9278
F: 0.2638 0.6592 0.4278
F: 0.3620 0.3540 0.2623
F: 0.3688 0.6729 0.0309
F: 0.4407 0.9836 0.8650
F: 0.5593 0.4836 0.6350
F: 0.6312 0.1729 0.4691
F: 0.6380 0.8540 0.2377
F: 0.7362 0.1592 0.0722
F: 0.7638 0.8408 0.5722
F: 0.8620 0.1460 0.7377
F: 0.8688 0.8271 0.9691
F: 0.9407 0.5164 0.1350

M_tot = 1.00 μB per formula unit



three) Computed, not measured: a relaxed structure of Li2VOF4 at the GGA+U level of DFT.

Cell: 7.0228 10.8950 5.0431 Å, 90.00 90.00 90.00°
Fractional positions:
Li: 0.1441 0.2367 0.0000
Li: 0.1544 0.9604 0.1499
Li: 0.3456 0.4604 0.6499
Li: 0.3559 0.7367 0.5000
Li: 0.6441 0.2633 0.0000
Li: 0.6544 0.5396 0.1499
Li: 0.8456 0.0396 0.6499
Li: 0.8559 0.7633 0.5000
V: 0.1738 0.5698 0.0971
V: 0.3262 0.0698 0.5971
V: 0.6738 0.9302 0.0971
V: 0.8262 0.4302 0.5971
O: 0.2235 0.1388 0.3407
O: 0.2765 0.6388 0.8407
O: 0.7235 0.3612 0.3407
O: 0.7765 0.8612 0.8407
F: 0.0856 0.4565 0.4638
F: 0.0965 0.7065 0.3135
F: 0.0976 0.0626 0.8266
F: 0.2302 0.4040 0.9884
F: 0.2698 0.9040 0.4884
F: 0.4024 0.5626 0.3266
F: 0.4035 0.2065 0.8135
F: 0.4144 0.9565 0.9638
F: 0.5856 0.0435 0.4638
F: 0.5965 0.7935 0.3135
F: 0.5976 0.4374 0.8266
F: 0.7302 0.0960 0.9884
F: 0.7698 0.5960 0.4884
F: 0.9024 0.9374 0.3266
F: 0.9035 0.2935 0.8135
F: 0.9144 0.5435 0.9638

M_tot = 1.00 μB per formula unit



Last place for stability: two)



one) Computed, not measured: a relaxed structure of Li7V4O11F at the GGA+U level of DFT.

Cell: 5.0266 5.0786 9.3657 Å, 93.90 92.55 115.40°
Fractional positions:
Li: 0.0000 0.0000 0.0000
Li: 0.0494 0.3642 0.2342
Li: 0.1298 0.7666 0.4825
Li: 0.2404 0.2199 0.7475
Li: 0.5024 0.5088 0.5043
Li: 0.6403 0.2595 0.9750
Li: 0.7688 0.7242 0.2465
V: 0.3531 0.6534 0.9967
V: 0.4325 0.0911 0.2469
V: 0.8485 0.1336 0.4968
V: 0.9354 0.6088 0.7578
O: 0.0191 0.3495 0.8897
O: 0.1261 0.4718 0.6164
O: 0.1272 0.7311 0.1380
O: 0.1295 0.1097 0.3760
O: 0.2646 0.9040 0.8697
O: 0.3927 0.3531 0.1296
O: 0.5069 0.8466 0.3933
O: 0.6403 0.6056 0.8814
O: 0.6868 0.0027 0.1198
O: 0.7717 0.4040 0.3693
O: 0.8910 0.8645 0.6243
F: 0.5723 0.2456 0.6360

M_tot = 4.00 μB per formula unit



two) Computed, not measured: a relaxed structure of Li7V4O11F at the GGA+U level of DFT.

Cell: 5.0138 5.1655 9.8657 Å, 83.94 77.81 61.17°
Fractional positions:
Li: 0.0000 0.0000 0.0000
Li: 0.0682 0.3433 0.7477
Li: 0.1427 0.6679 0.5076
Li: 0.2868 0.3732 0.0037
Li: 0.4914 0.0011 0.4916
Li: 0.6744 0.6554 0.9904
Li: 0.8124 0.3805 0.4935
V: 0.2002 0.0094 0.2572
V: 0.4034 0.6725 0.7486
V: 0.5498 0.3841 0.2516
V: 0.7258 0.0285 0.7486
O: 0.0350 0.7018 0.8660
O: 0.0963 0.9916 0.6370
O: 0.2441 0.3038 0.3579
O: 0.3095 0.6956 0.1335
O: 0.3933 0.9897 0.8605
O: 0.4579 0.3519 0.6368
O: 0.4847 0.6890 0.3645
O: 0.6699 0.3502 0.8608
O: 0.7426 0.7029 0.6317
O: 0.8556 0.0608 0.3711
O: 0.9295 0.3063 0.1310
F: 0.5670 0.0574 0.1211

M_tot = 4.00 μB per formula unit



Last place for stability: one)



one) Computed, not measured: a relaxed structure of LiVOF4 at the GGA+U level of DFT.

Cell: 5.3977 5.6173 7.0193 Å, 108.19 90.71 107.46°
Fractional positions:
Li: 0.1030 0.3276 0.3235
Li: 0.8970 0.6724 0.6765
V: 0.5000 0.0000 0.0000
V: 0.5000 0.0000 0.5000
O: 0.4820 0.9043 0.2278
O: 0.5180 0.0957 0.7722
F: 0.1746 0.7580 0.8926
F: 0.2052 0.7055 0.4792
F: 0.2841 0.1990 0.4980
F: 0.3459 0.2522 0.1207
F: 0.6541 0.7478 0.8793
F: 0.7159 0.8010 0.5020
F: 0.7948 0.2945 0.5208
F: 0.8254 0.2420 0.1074

M_tot = 0.08 μB per formula unit



two) Computed, not measured: a relaxed structure of LiVOF4 at the GGA+U level of DFT.

Cell: 5.2048 7.6869 10.0292 Å, 111.67 90.65 90.88°
Fractional positions:
Li: 0.0000 0.0000 0.0000
Li: 0.1310 0.5028 0.8992
Li: 0.2660 0.5224 0.3786
Li: 0.4835 0.0118 0.4989
V: 0.5095 0.3399 0.1002
V: 0.5516 0.8210 0.1192
V: 0.9037 0.4313 0.6149
V: 0.9752 0.9295 0.6206
O: 0.1168 0.1165 0.6146
O: 0.6449 0.6161 0.1151
O: 0.7823 0.2462 0.0364
O: 0.7857 0.6246 0.6154
F: 0.0823 0.9283 0.7946
F: 0.0882 0.3551 0.4487
F: 0.2075 0.4916 0.1861
F: 0.2142 0.5109 0.7105
F: 0.2335 0.7581 0.0243
F: 0.2338 0.7646 0.5254
F: 0.3385 0.1252 0.0960
F: 0.3567 0.3329 0.9317
F: 0.3845 0.9201 0.2883
F: 0.5971 0.4164 0.2917
F: 0.6542 0.2534 0.5288
F: 0.6656 0.0167 0.6951
F: 0.6761 0.8274 0.9510
F: 0.7948 0.8438 0.4485
F: 0.8099 0.4253 0.7909
F: 0.8168 0.9821 0.1985

M_tot = 0.02 μB per formula unit



Last place for stability: one)



one) Computed, not measured: a relaxed structure of Li7VO5F at the GGA+U level of DFT.

Cell: 5.3964 5.4027 5.9082 Å, 117.03 90.22 119.84°
Fractional positions:
Li: 0.0000 0.0000 0.0000
Li: 0.0116 0.5249 0.3156
Li: 0.1995 0.1056 0.6153
Li: 0.2511 0.6607 0.0154
Li: 0.5705 0.3325 0.0334
Li: 0.7049 0.8697 0.2719
Li: 0.7464 0.4007 0.6377
V: 0.5258 0.7940 0.6615
O: 0.2450 0.8636 0.8244
O: 0.4141 0.9074 0.4139
O: 0.5706 0.6078 0.8850
O: 0.7169 0.6273 0.4281
O: 0.8689 0.2362 0.9079
F: 0.0849 0.2516 0.3856

M_tot = 1.00 μB per formula unit



two) Computed, not measured: a relaxed structure of Li7VO5F at the GGA+U level of DFT.

Cell: 5.5398 5.5877 5.7565 Å, 61.43 62.53 60.62°
Fractional positions:
Li: 0.0000 0.0000 0.0000
Li: 0.0221 0.8109 0.6244
Li: 0.2665 0.4343 0.9803
Li: 0.3798 0.2125 0.6461
Li: 0.5574 0.7040 0.9750
Li: 0.7450 0.4449 0.6768
Li: 0.8099 0.3101 0.2767
V: 0.5307 0.9134 0.2985
O: 0.2636 0.0437 0.1017
O: 0.4307 0.5561 0.5518
O: 0.6138 0.2932 0.0765
O: 0.6810 0.8640 0.5622
O: 0.8627 0.7041 0.0680
F: 0.0978 0.1500 0.5891

M_tot = 1.00 μB per formula unit



three) Computed, not measured: a relaxed structure of Li7VO5F at the GGA+U level of DFT.

Cell: 5.5722 5.5752 10.8299 Å, 88.50 88.16 60.64°
Fractional positions:
Li: 0.0000 0.0000 0.0000
Li: 0.0065 0.0468 0.3702
Li: 0.0361 0.6426 0.8729
Li: 0.2494 0.4028 0.3695
Li: 0.2882 0.6854 0.6717
Li: 0.3089 0.6628 0.1497
Li: 0.3428 0.0185 0.5026
Li: 0.3494 0.3047 0.0124
Li: 0.5957 0.7444 0.0000
Li: 0.6355 0.4029 0.8677
Li: 0.6447 0.3649 0.5011
Li: 0.9061 0.7051 0.5100
Li: 0.9517 0.3615 0.1725
Li: 0.9841 0.3269 0.6509
V: 0.6244 0.0141 0.7402
V: 0.6428 0.9986 0.2394
O: 0.3195 0.6505 0.9624
O: 0.3204 0.3110 0.1948
O: 0.3419 0.9972 0.6775
O: 0.6233 0.3312 0.6902
O: 0.6269 0.7155 0.1767
O: 0.6400 0.0507 0.4097
O: 0.6746 0.0164 0.9100
O: 0.9380 0.6935 0.6969
O: 0.9562 0.0073 0.1914
O: 0.9952 0.3380 0.4639
F: 0.2713 0.6984 0.4610
F: 0.9583 0.3723 0.9614

M_tot = 1.00 μB per formula unit



Last place for stability: two)



one) Computed, not measured: a relaxed structure of LiV6O7F5 at the GGA+U level of DFT.

Cell: 5.6636 5.7411 7.6771 Å, 69.44 70.28 70.39°
Fractional positions:
Li: 0.0000 0.0000 0.0000
V: 0.0327 0.5241 0.9491
V: 0.0452 0.5483 0.4739
V: 0.3904 0.8252 0.6285
V: 0.3897 0.8488 0.1410
V: 0.6535 0.1825 0.7769
V: 0.7004 0.1966 0.3175
O: 0.0046 0.9049 0.2756
O: 0.1304 0.6382 0.6679
O: 0.2981 0.2007 0.9593
O: 0.4043 0.4992 0.3092
O: 0.5971 0.0643 0.5945
O: 0.6820 0.5329 0.6220
O: 0.7518 0.8500 0.9722
F: 0.0710 0.1480 0.6502
F: 0.2922 0.7288 0.9318
F: 0.4619 0.9722 0.3345
F: 0.7666 0.3174 0.0064
F: 0.9471 0.4268 0.2582

M_tot = 12.00 μB per formula unit



two) Computed, not measured: a relaxed structure of LiV6O7F5 at the GGA+U level of DFT.

Cell: 5.8404 6.0671 6.1019 Å, 100.39 100.32 99.06°
Fractional positions:
Li: 0.0000 0.0000 0.0000
V: 0.1586 0.3620 0.6061
V: 0.3111 0.6323 0.1376
V: 0.4098 0.8736 0.6640
V: 0.6058 0.1818 0.3405
V: 0.6946 0.4334 0.8698
V: 0.8588 0.6859 0.3819
O: 0.1931 0.5970 0.4253
O: 0.4245 0.2001 0.5857
O: 0.4286 0.6145 0.8294
O: 0.5743 0.4374 0.1781
O: 0.5865 0.8515 0.4116
O: 0.8296 0.4510 0.5872
O: 0.9413 0.6815 0.0774
F: 0.0675 0.9205 0.6718
F: 0.1045 0.3253 0.9252
F: 0.3312 0.9732 0.0936
F: 0.6909 0.0859 0.8999
F: 0.9443 0.1305 0.3184

M_tot = 12.00 μB per formula unit



Last place for stability: one)